! Be2CuAu2 GGA-PBEsol relaxed; values from VASP
! Total energy, eV/atom: -4.11
! Crystal system: tetragonal
! ΔH_f (0 K), eV per atom: -0.07
! Relative energy among the computed polymorphs, eV per formula unit: 0.10
&SYSTEM
  ibrav = 0, nat = 10, ntyp = 3
/
ATOMIC_SPECIES
Be 9.01 Be.upf
Cu 63.55 Cu.upf
Au 196.97 Au.upf
ATOMIC_POSITIONS crystal
Be 0.149 0.351 0.000
Be 0.351 0.851 0.000
Be 0.649 0.149 0.000
Be 0.851 0.649 0.000
Cu 0.000 0.000 0.500
Cu 0.500 0.500 0.500
Au 0.150 0.650 0.500
Au 0.350 0.150 0.500
Au 0.650 0.850 0.500
Au 0.850 0.350 0.500
CELL_PARAMETERS angstrom
6.830 0.000 0.000
0.000 6.830 0.000
0.000 0.000 2.769

! BeCuAu2 GGA-PBEsol relaxed; values from VASP
! Total energy, eV/atom: -4.15
! Crystal system: tetragonal
! ΔH_f (0 K), eV per atom: -0.10
&SYSTEM
  ibrav = 0, nat = 4, ntyp = 3
/
ATOMIC_SPECIES
Be 9.01 Be.upf
Cu 63.55 Cu.upf
Au 196.97 Au.upf
ATOMIC_POSITIONS crystal
Be 0.000 0.000 0.000
Cu 0.500 0.500 0.189
Au 0.000 0.000 0.452
Au 0.500 0.500 0.783
CELL_PARAMETERS angstrom
2.871 0.000 0.000
0.000 2.871 0.000
0.000 0.000 6.472

Question: The lowest total energy belongs to which entry?
Answer: BeCuAu2